Run i
Sr5ZrTi4O15 | SCAN | PBEsol geometry

SG: P4/mmm (123)

abc: 3.960 3.960 19.678
angles: 90.00 90.00 90.00
Atoms (fractional coordinates):
Sr1 0.000 0.000 0.000
Sr2 0.000 0.000 0.196
Sr3 0.000 0.000 0.391
Sr4 0.000 0.000 0.609
Sr5 0.000 0.000 0.804
Zr1 0.500 0.500 0.500
Ti1 0.500 0.500 0.098
Ti2 0.500 0.500 0.295
Ti3 0.500 0.500 0.705
Ti4 0.500 0.500 0.902
O1 0.000 0.500 0.098
O2 0.000 0.500 0.295
O3 0.000 0.500 0.500
O4 0.000 0.500 0.705
O5 0.000 0.500 0.902
O6 0.500 0.000 0.098
O7 0.500 0.000 0.295
O8 0.500 0.000 0.500
O9 0.500 0.000 0.705
O10 0.500 0.000 0.902
O11 0.500 0.500 0.000
O12 0.500 0.500 0.196
O13 0.500 0.500 0.393
O14 0.500 0.500 0.607
O15 0.500 0.500 0.804



Run ii
Sr5ZrTi4O15 | SCAN | PBEsol geometry

SG: R-3m (166)

abc: 11.855 11.855 11.855
angles: 27.19 27.19 27.19
Atoms (fractional coordinates):
Sr1 0.000 0.000 0.000
Sr2 0.203 0.203 0.203
Sr3 0.398 0.398 0.398
Sr4 0.602 0.602 0.602
Sr5 0.797 0.797 0.797
Zr1 0.500 0.500 0.500
Ti1 0.098 0.098 0.098
Ti2 0.300 0.300 0.300
Ti3 0.700 0.700 0.700
Ti4 0.902 0.902 0.902
O1 0.000 0.500 0.500
O2 0.102 0.102 0.600
O3 0.102 0.600 0.102
O4 0.193 0.707 0.707
O5 0.293 0.293 0.807
O6 0.293 0.807 0.293
O7 0.400 0.898 0.898
O8 0.500 0.000 0.500
O9 0.500 0.500 0.000
O10 0.600 0.102 0.102
O11 0.707 0.193 0.707
O12 0.707 0.707 0.193
O13 0.807 0.293 0.293
O14 0.898 0.400 0.898
O15 0.898 0.898 0.400



We find run ii to be the most stable, with the next structure 14 meV/atom higher.



Run i
Sr2VO4 | SCAN | PBEsol geometry

SG: I4/mmm (139)

abc: 3.783 3.783 12.583
angles: 90.00 90.00 90.00
Atoms (fractional coordinates):
Sr1 0.000 0.000 0.146
Sr2 0.000 0.000 0.854
Sr3 0.500 0.500 0.354
Sr4 0.500 0.500 0.646
V1 0.000 0.000 0.500
V2 0.500 0.500 0.000
O1 0.000 0.000 0.342
O2 0.000 0.000 0.658
O3 0.000 0.500 0.000
O4 0.000 0.500 0.500
O5 0.500 0.000 0.000
O6 0.500 0.000 0.500
O7 0.500 0.500 0.158
O8 0.500 0.500 0.842



Run ii
Sr2VO4 | SCAN | PBEsol geometry

SG: Pna2_1 (33)

abc: 14.446 5.855 10.452
angles: 90.00 90.00 90.00
Atoms (fractional coordinates):
Sr1 0.025 0.222 0.107
Sr2 0.098 0.233 0.737
Sr3 0.149 0.705 0.357
Sr4 0.205 0.681 0.000
Sr5 0.295 0.181 0.500
Sr6 0.351 0.205 0.857
Sr7 0.402 0.733 0.237
Sr8 0.475 0.722 0.607
Sr9 0.525 0.278 0.107
Sr10 0.598 0.267 0.737
Sr11 0.649 0.795 0.357
Sr12 0.705 0.819 0.000
Sr13 0.795 0.319 0.500
Sr14 0.851 0.295 0.857
Sr15 0.902 0.767 0.237
Sr16 0.975 0.778 0.607
V1 0.027 0.261 0.443
V2 0.230 0.783 0.712
V3 0.270 0.283 0.212
V4 0.473 0.761 0.943
V5 0.527 0.239 0.443
V6 0.730 0.717 0.712
V7 0.770 0.217 0.212
V8 0.973 0.739 0.943
O1 0.020 0.471 0.891
O2 0.027 0.037 0.331
O3 0.044 0.817 0.077
O4 0.135 0.344 0.506
O5 0.147 0.851 0.592
O6 0.161 0.412 0.169
O7 0.202 0.977 0.841
O8 0.234 0.500 0.781
O9 0.266 0.000 0.281
O10 0.298 0.477 0.341
O11 0.339 0.912 0.669
O12 0.353 0.351 0.092
O13 0.365 0.844 0.006
O14 0.456 0.317 0.577
O15 0.473 0.537 0.831
O16 0.480 0.971 0.391
O17 0.520 0.029 0.891
O18 0.527 0.463 0.331
O19 0.544 0.683 0.077
O20 0.635 0.156 0.506
O21 0.647 0.649 0.592
O22 0.661 0.088 0.169
O23 0.702 0.523 0.841
O24 0.734 0.000 0.781
O25 0.766 0.500 0.281
O26 0.798 0.023 0.341
O27 0.839 0.588 0.669
O28 0.853 0.149 0.092
O29 0.865 0.656 0.006
O30 0.956 0.183 0.577
O31 0.973 0.963 0.831
O32 0.980 0.529 0.391



We find run i to be the most stable, with the next structure 85 meV/atom higher.



Run i
Tm3TaO7 | SCAN | PBEsol geometry

SG: Pnma (62)

abc: 7.255 10.327 7.381
angles: 90.00 90.00 90.00
Atoms (fractional coordinates):
Tm1 0.017 0.250 0.204
Tm2 0.249 0.022 0.535
Tm3 0.249 0.478 0.535
Tm4 0.251 0.522 0.035
Tm5 0.251 0.978 0.035
Tm6 0.483 0.750 0.704
Tm7 0.517 0.250 0.296
Tm8 0.749 0.022 0.965
Tm9 0.749 0.478 0.965
Tm10 0.751 0.522 0.465
Tm11 0.751 0.978 0.465
Tm12 0.983 0.750 0.796
Ta1 0.003 0.250 0.751
Ta2 0.497 0.750 0.251
Ta3 0.503 0.250 0.749
Ta4 0.997 0.750 0.249
O1 0.041 0.124 0.958
O2 0.041 0.376 0.958
O3 0.045 0.607 0.409
O4 0.045 0.893 0.409
O5 0.240 0.616 0.769
O6 0.240 0.884 0.769
O7 0.249 0.250 0.651
O8 0.251 0.750 0.151
O9 0.260 0.116 0.269
O10 0.260 0.384 0.269
O11 0.455 0.107 0.909
O12 0.455 0.393 0.909
O13 0.459 0.624 0.458
O14 0.459 0.876 0.458
O15 0.541 0.124 0.542
O16 0.541 0.376 0.542
O17 0.545 0.607 0.091
O18 0.545 0.893 0.091
O19 0.740 0.616 0.731
O20 0.740 0.884 0.731
O21 0.749 0.250 0.849
O22 0.751 0.750 0.349
O23 0.760 0.116 0.231
O24 0.760 0.384 0.231
O25 0.955 0.107 0.591
O26 0.955 0.393 0.591
O27 0.959 0.624 0.042
O28 0.959 0.876 0.042



Run ii
Tm3TaO7 | SCAN | PBEsol geometry

SG: C222_1 (20)

abc: 6.340 6.340 7.297
angles: 90.00 90.00 108.70
Atoms (fractional coordinates):
Tm1 0.035 0.035 0.000
Tm2 0.036 0.500 0.260
Tm3 0.500 0.036 0.740
Tm4 0.500 0.964 0.240
Tm5 0.964 0.500 0.760
Tm6 0.965 0.965 0.500
Ta1 0.498 0.498 0.500
Ta2 0.502 0.502 0.000
O1 0.129 0.871 0.750
O2 0.139 0.861 0.250
O3 0.167 0.415 0.976
O4 0.188 0.448 0.547
O5 0.415 0.167 0.024
O6 0.426 0.574 0.250
O7 0.448 0.188 0.453
O8 0.552 0.812 0.953
O9 0.574 0.426 0.750
O10 0.585 0.833 0.524
O11 0.812 0.552 0.047
O12 0.833 0.585 0.476
O13 0.861 0.139 0.750
O14 0.871 0.129 0.250



We find run ii to be the most stable, with the next structure 18 meV/atom higher.



Run i
Ta2Zn4O9 | SCAN | PBEsol geometry

SG: Pbcn (60)

abc: 8.937 5.158 14.329
angles: 90.00 90.00 90.00
Atoms (fractional coordinates):
Ta1 0.019 0.001 0.142
Ta2 0.019 0.999 0.642
Ta3 0.481 0.499 0.642
Ta4 0.481 0.501 0.142
Ta5 0.519 0.499 0.858
Ta6 0.519 0.501 0.358
Ta7 0.981 0.001 0.358
Ta8 0.981 0.999 0.858
Zn1 0.163 0.496 0.001
Zn2 0.163 0.504 0.501
Zn3 0.165 0.498 0.801
Zn4 0.165 0.502 0.301
Zn5 0.335 0.002 0.301
Zn6 0.335 0.998 0.801
Zn7 0.337 0.004 0.501
Zn8 0.337 0.996 0.001
Zn9 0.663 0.004 0.999
Zn10 0.663 0.996 0.499
Zn11 0.665 0.002 0.199
Zn12 0.665 0.998 0.699
Zn13 0.835 0.498 0.699
Zn14 0.835 0.502 0.199
Zn15 0.837 0.496 0.499
Zn16 0.837 0.504 0.999
O1 0.000 0.283 0.750
O2 0.000 0.717 0.250
O3 0.007 0.330 0.415
O4 0.007 0.670 0.915
O5 0.143 0.144 0.250
O6 0.143 0.856 0.750
O7 0.161 0.174 0.904
O8 0.161 0.826 0.404
O9 0.168 0.160 0.573
O10 0.168 0.840 0.073
O11 0.332 0.340 0.073
O12 0.332 0.660 0.573
O13 0.339 0.326 0.404
O14 0.339 0.674 0.904
O15 0.357 0.356 0.750
O16 0.357 0.644 0.250
O17 0.493 0.170 0.915
O18 0.493 0.830 0.415
O19 0.500 0.217 0.250
O20 0.500 0.783 0.750
O21 0.507 0.170 0.585
O22 0.507 0.830 0.085
O23 0.643 0.356 0.750
O24 0.643 0.644 0.250
O25 0.661 0.326 0.096
O26 0.661 0.674 0.596
O27 0.668 0.340 0.427
O28 0.668 0.660 0.927
O29 0.832 0.160 0.927
O30 0.832 0.840 0.427
O31 0.839 0.174 0.596
O32 0.839 0.826 0.096
O33 0.857 0.144 0.250
O34 0.857 0.856 0.750
O35 0.993 0.330 0.085
O36 0.993 0.670 0.585



Run ii
Ta2Zn4O9 | SCAN | PBEsol geometry

SG: P2_1/c (14)

abc: 9.323 5.202 15.801
angles: 90.00 123.88 90.00
Atoms (fractional coordinates):
Ta1 0.001 0.000 0.341
Ta2 0.001 0.500 0.841
Ta3 0.494 0.002 0.160
Ta4 0.494 0.498 0.660
Ta5 0.506 0.502 0.340
Ta6 0.506 0.998 0.840
Ta7 0.999 0.000 0.659
Ta8 0.999 0.500 0.159
Zn1 0.000 0.000 0.000
Zn2 0.000 0.500 0.500
Zn3 0.244 0.003 0.904
Zn4 0.244 0.497 0.404
Zn5 0.245 0.004 0.237
Zn6 0.245 0.496 0.737
Zn7 0.265 0.013 0.576
Zn8 0.265 0.487 0.076
Zn9 0.500 0.000 0.500
Zn10 0.500 0.500 0.000
Zn11 0.735 0.513 0.924
Zn12 0.735 0.987 0.424
Zn13 0.755 0.504 0.263
Zn14 0.755 0.996 0.763
Zn15 0.756 0.503 0.596
Zn16 0.756 0.997 0.096
O1 0.053 0.670 0.406
O2 0.053 0.830 0.906
O3 0.062 0.679 0.748
O4 0.062 0.821 0.248
O5 0.088 0.653 0.089
O6 0.088 0.847 0.589
O7 0.236 0.126 0.440
O8 0.236 0.374 0.940
O9 0.253 0.119 0.777
O10 0.253 0.381 0.277
O11 0.259 0.116 0.114
O12 0.259 0.384 0.614
O13 0.421 0.665 0.534
O14 0.421 0.835 0.034
O15 0.430 0.680 0.866
O16 0.430 0.820 0.366
O17 0.447 0.666 0.206
O18 0.447 0.834 0.706
O19 0.553 0.166 0.294
O20 0.553 0.334 0.794
O21 0.570 0.180 0.634
O22 0.570 0.320 0.134
O23 0.579 0.165 0.966
O24 0.579 0.335 0.466
O25 0.741 0.616 0.386
O26 0.741 0.884 0.886
O27 0.747 0.619 0.723
O28 0.747 0.881 0.223
O29 0.764 0.626 0.060
O30 0.764 0.874 0.560
O31 0.912 0.153 0.411
O32 0.912 0.347 0.911
O33 0.938 0.179 0.752
O34 0.938 0.321 0.252
O35 0.947 0.170 0.094
O36 0.947 0.330 0.594



We find run i to be the most stable, with the next structure 47 meV/atom higher.